Pr2NdDySe4 (PBE, relaxed); ρ = 7.1 g cm⁻³; crystal system = monoclinic; SG = P2/m, No. 10; total moment = 0.00 μB per atom; DFT total energy = -5.925 eV/atom
1.0
-1.651 -3.348 -1.807
3.591 1.592 -6.229
6.515 -3.292 0.146
Se Pr Dy Nd
4 2 1 1
Direct
0.500 0.737 0.261 Se
0.000 0.742 0.746 Se
0.500 0.263 0.739 Se
0.000 0.258 0.254 Se
0.000 0.000 0.000 Pr
0.500 0.000 0.500 Pr
0.000 0.500 0.500 Dy
0.500 0.500 0.000 Nd

=====

NaLa3Er2Te6 (PBE, relaxed); ρ = 6.7 g cm⁻³; crystal system = monoclinic; SG = C2/m, No. 12; total moment = 0.00 μB per atom; DFT total energy = -5.087 eV/atom
1.0
4.466 0.000 0.000
0.000 8.981 0.334
-2.233 -2.574 9.432
La Te Er Na
3 6 2 1
Direct
0.500 0.500 0.000 La
0.162 0.828 0.323 La
0.838 0.172 0.677 La
0.667 0.098 0.334 Te
0.329 0.425 0.659 Te
0.333 0.902 0.666 Te
0.007 0.245 0.015 Te
0.671 0.575 0.341 Te
0.993 0.755 0.985 Te
0.167 0.340 0.334 Er
0.833 0.660 0.666 Er
0.500 0.000 0.000 Na